No. 1
DFT (PBE) results for an optimized crystal structure of Y7ZnSe5.

a = 4.039 Å, b = 6.979 Å, c = 24.345 Å
α = 90.02°, β = 90.00°, γ = 106.82°
Fractional coordinates of all 26 atoms:
Y1 0.469 0.938 0.250
Y2 0.532 0.064 0.750
Y3 0.639 0.277 0.037
Y4 0.362 0.724 0.963
Y5 0.362 0.724 0.537
Y6 0.638 0.277 0.463
Y7 0.192 0.383 0.179
Y8 0.809 0.618 0.821
Y9 0.809 0.619 0.679
Y10 0.191 0.382 0.321
Y11 0.911 0.823 0.114
Y12 0.089 0.179 0.886
Y13 0.090 0.179 0.614
Y14 0.911 0.822 0.386
Zn1 0.804 0.608 0.250
Zn2 0.197 0.393 0.750
Se1 0.000 0.001 0.000
Se2 0.723 0.446 0.928
Se3 0.277 0.555 0.072
Se4 0.553 0.105 0.357
Se5 0.448 0.896 0.643
Se6 0.000 0.000 0.500
Se7 0.277 0.554 0.428
Se8 0.723 0.447 0.572
Se9 0.448 0.895 0.857
Se10 0.553 0.106 0.143

Computed properties:
* ΔE_f (raw): -1.424 eV/atom
* space-group type: C2/m, No. 12
* magnetic moment: 0.00 μB/cell
* raw total energy: -6.342 eV per atom

=====

No. 2
DFT (PBE) results for an optimized crystal structure of Gd2DyTh.

a = 5.077 Å, b = 5.026 Å, c = 5.026 Å
α = 90.00°, β = 90.00°, γ = 90.00°
Site moments in Bohr magnetons follow the coordinates.
Fractional coordinates of all 4 atoms:
Gd1 0.000 0.000 0.500  -7.13
Gd2 0.000 0.500 0.000  -7.13
Th1 0.500 0.500 0.500  0.06
Dy1 0.500 0.000 0.000  0.01

Computed properties:
* space-group type: P4/mmm, No. 123
* magnetic moment: 14.57 μB/cell
* raw total energy: -10.006 eV per atom

=====

No. 3
DFT (PBE) results for an optimized crystal structure of Cu2ReSe.

a = 3.052 Å, b = 4.186 Å, c = 4.450 Å
α = 90.00°, β = 90.00°, γ = 90.00°
Fractional coordinates of all 4 atoms:
Cu1 0.000 0.000 0.000
Cu2 0.500 0.500 0.000
Re1 0.500 0.000 0.500
Se1 0.000 0.500 0.500

Computed properties:
* ΔE_f (raw): 0.587 eV/atom
* space-group type: Pmmm, No. 47
* magnetic moment: 0.00 μB/cell
* raw total energy: -5.444 eV per atom

=====

No. 4
DFT (PBE) results for an optimized crystal structure of InGaPb2.

a = 4.743 Å, b = 4.844 Å, c = 4.844 Å
α = 90.00°, β = 90.00°, γ = 90.00°
Fractional coordinates of all 4 atoms:
Pb1 0.000 0.000 0.500
Pb2 0.000 0.500 0.000
Ga1 0.500 0.000 0.000
In1 0.500 0.500 0.500

Computed properties:
* space-group type: P4/mmm, No. 123
* magnetic moment: 0.00 μB/cell
* raw total energy: -3.249 eV per atom

=====

No. 5
DFT (PBE) results for an optimized crystal structure of RbGa2Hg2.

a = 4.829 Å, b = 4.829 Å, c = 6.996 Å
α = 69.81°, β = 69.81°, γ = 90.00°
Fractional coordinates of all 5 atoms:
Ga1 0.750 0.250 0.500
Ga2 0.250 0.750 0.500
Hg1 0.373 0.373 0.253
Hg2 0.627 0.627 0.747
Rb1 0.000 0.000 0.000

Computed properties:
* space-group type: I4/mmm, No. 139
* magnetic moment: 0.00 μB/cell
* raw total energy: -1.605 eV per atom

=====

No. 6
DFT (PBE) results for an optimized crystal structure of LiTm2Al4.

a = 4.416 Å, b = 4.416 Å, c = 8.076 Å
α = 105.87°, β = 105.87°, γ = 90.00°
Fractional coordinates of all 7 atoms:
Li1 0.000 0.000 0.000
Tm1 0.644 0.644 0.288
Tm2 0.356 0.356 0.712
Al1 0.000 0.500 0.000
Al2 0.500 0.000 0.000
Al3 0.843 0.843 0.686
Al4 0.157 0.157 0.314

Computed properties:
* space-group type: I4/mmm, No. 139
* magnetic moment: 0.00 μB/cell
* raw total energy: -3.672 eV per atom

=====

No. 7
DFT (PBE) results for an optimized crystal structure of CoGe3.

a = 2.963 Å, b = 5.513 Å, c = 4.989 Å
α = 123.54°, β = 107.27°, γ = 90.00°
Fractional coordinates of all 4 atoms:
Ge1 0.313 0.638 0.627
Ge2 0.500 0.428 0.000
Ge3 0.687 0.011 0.373
Co1 0.000 0.091 0.000

Computed properties:
* space-group type: Imm2, No. 44
* magnetic moment: 0.03 μB/cell
* raw total energy: -5.138 eV per atom

=====

No. 8
DFT (PBE) results for an optimized crystal structure of DyY2Te4.

a = 4.344 Å, b = 7.584 Å, c = 8.467 Å
α = 116.95°, β = 104.86°, γ = 90.00°
Fractional coordinates of all 7 atoms:
Dy1 0.000 0.000 0.000
Y1 0.256 0.242 0.512
Y2 0.744 0.758 0.488
Te1 0.120 0.789 0.240
Te2 0.880 0.211 0.760
Te3 0.371 0.709 0.743
Te4 0.629 0.291 0.257

Computed properties:
* ΔE_f (raw): -1.400 eV/atom
* space-group type: C2/m, No. 12
* magnetic moment: 0.00 μB/cell
* raw total energy: -5.699 eV per atom